(1)
{"formula": "Re4SiPb", "functional": "PBE-GGA", "state": "optimized geometry", "raw_formation_energy_ev_per_atom": 0.87, "rho_g_cm3": 15.463, "magmom_total_mub_per_cell": 0.0, "n_ef_per_ev_cell": 4.38, "cell": [[0.0000, 3.7474, 3.7474], [3.7474, 0.0000, 3.7474], [3.7474, 3.7474, 0.0000]], "species": ["Re", "Re", "Re", "Re", "Si", "Pb"], "frac_coords": [[0.8732, 0.3756, 0.3756], [0.3756, 0.3756, 0.8732], [0.3756, 0.8732, 0.3756], [0.3756, 0.3756, 0.3756], [0.7500, 0.7500, 0.7500], [0.0000, 0.0000, 0.0000]]}

(2)
{"formula": "Nd8MgRu2", "functional": "PBE-GGA", "state": "optimized geometry", "rho_g_cm3": 6.482, "magmom_total_mub_per_cell": 0.0, "formation_enthalpy_0k_ev_per_atom": -0.060, "n_ef_per_ev_cell": 11.12, "cell": [[6.4623, -0.1864, -0.1550], [-0.1014, 7.6533, 0.7917], [-0.1014, 2.1776, 7.3796]], "species": ["Nd", "Nd", "Nd", "Nd", "Nd", "Nd", "Nd", "Nd", "Mg", "Ru", "Ru"], "frac_coords": [[0.8205, 0.1405, 0.5666], [0.1795, 0.4334, 0.8595], [0.5835, 0.1305, 0.1305], [0.4165, 0.8695, 0.8695], [0.8205, 0.5666, 0.1405], [0.1795, 0.8595, 0.4334], [0.3143, 0.3807, 0.3807], [0.6857, 0.6193, 0.6193], [0.0000, 0.0000, 0.0000], [0.0125, 0.2163, 0.2163], [0.9875, 0.7837, 0.7837]]}

(3)
{"formula": "Ta6MnTc5", "functional": "PBE-GGA", "state": "optimized geometry", "rho_g_cm3": 14.170, "magmom_total_mub_per_cell": 0.0, "formation_enthalpy_0k_ev_per_atom": -0.444, "n_ef_per_ev_cell": 2.94, "cell": [[-1.1560, 1.0227, 4.2136], [3.4142, -4.9079, 2.1277], [4.2579, 5.9110, -2.6608]], "species": ["Mn", "Tc", "Tc", "Tc", "Tc", "Tc", "Ta", "Ta", "Ta", "Ta", "Ta", "Ta"], "frac_coords": [[0.0000, 0.0000, 0.0000], [0.6658, 0.1659, 0.3318], [0.3332, 0.3333, 0.6666], [0.0000, 0.5000, 0.0000], [0.6668, 0.6667, 0.3334], [0.3342, 0.8341, 0.6682], [0.8349, 0.5868, 0.6698], [0.8348, 0.0830, 0.6698], [0.5001, 0.7536, 0.0000], [0.4999, 0.2464, 0.0000], [0.1652, 0.9170, 0.3302], [0.1651, 0.4132, 0.3302]]}

(4)
{"formula": "Pd3AuCl", "functional": "PBE-GGA", "state": "optimized geometry", "polymorph_energy_ev_per_fu": 0.00, "raw_formation_energy_ev_per_atom": 0.39, "rho_g_cm3": 9.912, "magmom_total_mub_per_cell": 0.0, "n_ef_per_ev_cell": 0.63, "cell": [[4.5212, 0.0000, 0.0000], [0.0000, 4.5212, 0.0000], [0.0000, 0.0000, 4.5212]], "species": ["Au", "Pd", "Pd", "Pd", "Cl"], "frac_coords": [[0.5000, 0.5000, 0.5000], [0.0000, 0.5000, 0.0000], [0.0000, 0.0000, 0.5000], [0.5000, 0.0000, 0.0000], [0.0000, 0.0000, 0.0000]]}

(5)
{"formula": "YSc2Cd2", "functional": "PBE-GGA", "state": "optimized geometry", "polymorph_energy_ev_per_fu": 1.58, "rho_g_cm3": 5.075, "magmom_total_mub_per_cell": 0.6, "formation_enthalpy_0k_ev_per_atom": 0.078, "n_ef_per_ev_cell": 6.00, "cell": [[-4.1622, 1.5061, -0.1917], [-0.1873, -1.0645, -4.2966], [-4.4628, -5.8968, -0.6287]], "species": ["Y", "Sc", "Sc", "Cd", "Cd"], "frac_coords": [[0.0000, 0.0000, 0.0000], [0.3926, 0.3926, 0.2148], [0.6074, 0.6074, 0.7852], [0.7500, 0.2500, 0.5000], [0.2500, 0.7500, 0.5000]]}

(6)
{"formula": "Al3ReCl", "functional": "PBE-GGA", "state": "optimized geometry", "polymorph_energy_ev_per_fu": 4.37, "raw_formation_energy_ev_per_atom": 1.19, "rho_g_cm3": 5.479, "magmom_total_mub_per_cell": 1.9, "n_ef_per_ev_cell": 3.08, "cell": [[4.5096, 0.0000, 0.0000], [0.0000, 4.5096, 0.0000], [0.0000, 0.0000, 4.5096]], "species": ["Re", "Al", "Al", "Al", "Cl"], "frac_coords": [[0.5000, 0.5000, 0.5000], [0.0000, 0.5000, 0.0000], [0.0000, 0.0000, 0.5000], [0.5000, 0.0000, 0.0000], [0.0000, 0.0000, 0.0000]]}

(7)
{"formula": "Th2AlPt", "functional": "PBE-GGA", "state": "optimized geometry", "polymorph_energy_ev_per_fu": 2.34, "rho_g_cm3": 8.956, "magmom_total_mub_per_cell": 0.0, "formation_enthalpy_0k_ev_per_atom": -0.040, "n_ef_per_ev_cell": 4.82, "cell": [[3.7990, 0.0000, 0.0000], [1.8995, 3.2901, 0.0000], [1.8995, 1.0967, 10.1786]], "species": ["Pt", "Th", "Th", "Al"], "frac_coords": [[0.5000, 0.5000, 0.5000], [0.1046, 0.1046, 0.6862], [0.8954, 0.8954, 0.3138], [0.0000, 0.0000, 0.0000]]}

(8)
{"formula": "Al2GaRe", "functional": "PBE-GGA", "state": "optimized geometry", "rho_g_cm3": 7.055, "magmom_total_mub_per_cell": 0.0, "formation_enthalpy_0k_ev_per_atom": 0.476, "n_ef_per_ev_cell": 1.81, "cell": [[-3.8232, 5.6554, -3.1823], [2.9636, -1.7642, -6.6957], [-2.4008, 0.3577, -5.3930]], "species": ["Re", "Re", "Al", "Al", "Al", "Al", "Ga", "Ga"], "frac_coords": [[0.0000, 0.0000, 0.0000], [0.7500, 0.2500, 0.5000], [0.6712, 0.1250, 0.2500], [0.0788, 0.6250, 0.2500], [0.3750, 0.3288, 0.7500], [0.8750, 0.9212, 0.7500], [0.5000, 0.5000, 0.0000], [0.2500, 0.7500, 0.5000]]}

(9)
{"formula": "LiTaN", "functional": "PBE-GGA", "state": "optimized geometry", "polymorph_energy_ev_per_fu": 0.14, "raw_formation_energy_ev_per_atom": -0.64, "rho_g_cm3": 8.013, "magmom_total_mub_per_cell": 0.6, "n_ef_per_ev_cell": 7.46, "cell": [[3.1123, 0.0000, 0.0000], [-1.5562, 2.6954, 0.0000], [0.0000, 0.0000, 29.9238]], "species": ["N", "N", "N", "N", "N", "N", "Ta", "Ta", "Ta", "Ta", "Ta", "Ta", "Li", "Li", "Li", "Li", "Li", "Li"], "frac_coords": [[0.0000, 0.0000, 0.6189], [0.3333, 0.6667, 0.2856], [0.6667, 0.3333, 0.9523], [0.0000, 0.0000, 0.2041], [0.3333, 0.6667, 0.8708], [0.6667, 0.3333, 0.5375], [0.0000, 0.0000, 0.4986], [0.3333, 0.6667, 0.1653], [0.6667, 0.3333, 0.8319], [0.0000, 0.0000, 0.9129], [0.3333, 0.6667, 0.5796], [0.6667, 0.3333, 0.2463], [0.0000, 0.0000, 0.7513], [0.3333, 0.6667, 0.4179], [0.6667, 0.3333, 0.0846], [0.0000, 0.0000, 0.3233], [0.3333, 0.6667, 0.9900], [0.6667, 0.3333, 0.6567]]}

(10)
{"formula": "Dy2SnN", "functional": "PBE-GGA", "state": "optimized geometry", "raw_formation_energy_ev_per_atom": -0.61, "rho_g_cm3": 9.906, "magmom_total_mub_per_cell": 0.0, "n_ef_per_ev_cell": 2.18, "cell": [[-1.3783, -2.5907, -1.1273], [2.2263, -0.2235, -2.2082], [4.2967, -4.3630, 4.7735]], "species": ["N", "Sn", "Dy", "Dy"], "frac_coords": [[0.5000, 0.5000, 0.0000], [0.5000, 0.5000, 0.5000], [0.0000, 0.0000, 0.8151], [0.0000, 0.0000, 0.1850]]}

(11)
{"formula": "Ho2TmPuBi4", "functional": "PBE-GGA", "state": "optimized geometry", "rho_g_cm3": 10.334, "magmom_total_mub_per_cell": 5.2, "formation_enthalpy_0k_ev_per_atom": -0.687, "n_ef_per_ev_cell": 17.39, "cell": [[4.4770, 0.0000, 0.0000], [0.0000, 7.7478, 0.1378], [0.0000, -2.7042, 7.2656]], "species": ["Ho", "Ho", "Tm", "Pu", "Bi", "Bi", "Bi", "Bi"], "frac_coords": [[0.5000, 0.0000, 0.5000], [0.0000, 0.5000, 0.5000], [0.0000, 0.0000, 0.0000], [0.5000, 0.5000, 0.0000], [0.5000, 0.2471, 0.2500], [0.5000, 0.7529, 0.7500], [0.0000, 0.2463, 0.7478], [0.0000, 0.7537, 0.2522]]}

(12)
{"formula": "Na3Al2P3O12", "functional": "PBE-GGA", "state": "optimized geometry", "raw_formation_energy_ev_per_atom": -2.44, "rho_g_cm3": 3.367, "magmom_total_mub_per_cell": 0.0, "n_ef_per_ev_cell": 0.00, "cell": [[-7.1806, 1.4630, -7.0206], [8.9932, -1.1752, -4.5532], [-2.1788, -8.3219, 5.3843]], "species": ["Na", "Na", "Na", "Na", "Na", "Na", "Na", "Na", "Na", "Na", "Na", "Na", "Al", "Al", "Al", "Al", "Al", "Al", "Al", "Al", "P", "P", "P", "P", "P", "P", "P", "P", "P", "P", "P", "P", "O", "O", "O", "O", "O", "O", "O", "O", "O", "O", "O", "O", "O", "O", "O", "O", "O", "O", "O", "O", "O", "O", "O", "O", "O", "O", "O", "O", "O", "O", "O", "O", "O", "O", "O", "O", "O", "O", "O", "O", "O", "O", "O", "O", "O", "O", "O", "O"], "frac_coords": [[0.1250, 0.3750, 0.7500], [0.3750, 0.1250, 0.2500], [0.3750, 0.7500, 0.1250], [0.1250, 0.2500, 0.3750], [0.7500, 0.1250, 0.3750], [0.2500, 0.3750, 0.1250], [0.8750, 0.6250, 0.2500], [0.6250, 0.8750, 0.7500], [0.6250, 0.2500, 0.8750], [0.8750, 0.7500, 0.6250], [0.2500, 0.8750, 0.6250], [0.7500, 0.6250, 0.8750], [0.0000, 0.5000, 0.0000], [0.0000, 0.0000, 0.5000], [0.5000, 0.0000, 0.0000], [0.5000, 0.5000, 0.5000], [0.5000, 0.5000, 0.0000], [0.5000, 0.0000, 0.5000], [0.0000, 0.5000, 0.5000], [0.0000, 0.0000, 0.0000], [0.3750, 0.6250, 0.7500], [0.1250, 0.8750, 0.2500], [0.6250, 0.7500, 0.3750], [0.8750, 0.2500, 0.1250], [0.7500, 0.3750, 0.6250], [0.2500, 0.1250, 0.8750], [0.6250, 0.3750, 0.2500], [0.8750, 0.1250, 0.7500], [0.3750, 0.2500, 0.6250], [0.1250, 0.7500, 0.8750], [0.2500, 0.6250, 0.3750], [0.7500, 0.8750, 0.1250], [0.0855, 0.8896, 0.3886], [0.0010, 0.6969, 0.1114], [0.4990, 0.6104, 0.6959], [0.4145, 0.8031, 0.8041], [0.8896, 0.3886, 0.0855], [0.6969, 0.1114, 0.0010], [0.6104, 0.6959, 0.4990], [0.8031, 0.8041, 0.4145], [0.3886, 0.0855, 0.8896], [0.1114, 0.0010, 0.6969], [0.6959, 0.4990, 0.6104], [0.8041, 0.4145, 0.8031], [0.9145, 0.1104, 0.6114], [0.9990, 0.3031, 0.8886], [0.5010, 0.3896, 0.3041], [0.5855, 0.1969, 0.1959], [0.1104, 0.6114, 0.9145], [0.3031, 0.8886, 0.9990], [0.3896, 0.3041, 0.5010], [0.1969, 0.1959, 0.5855], [0.6114, 0.9145, 0.1104], [0.8886, 0.9990, 0.3031], [0.3041, 0.5010, 0.3896], [0.1959, 0.5855, 0.1969], [0.5855, 0.8886, 0.3896], [0.5010, 0.6114, 0.1969], [0.9990, 0.1959, 0.1104], [0.9145, 0.3041, 0.3031], [0.3896, 0.5855, 0.8886], [0.1969, 0.5010, 0.6114], [0.1104, 0.9990, 0.1959], [0.3031, 0.9145, 0.3041], [0.8886, 0.3896, 0.5855], [0.6114, 0.1969, 0.5010], [0.1959, 0.1104, 0.9990], [0.3041, 0.3031, 0.9145], [0.4145, 0.1114, 0.6104], [0.4990, 0.3886, 0.8031], [0.0010, 0.8041, 0.8896], [0.0855, 0.6959, 0.6969], [0.6104, 0.4145, 0.1114], [0.8031, 0.4990, 0.3886], [0.8896, 0.0010, 0.8041], [0.6969, 0.0855, 0.6959], [0.1114, 0.6104, 0.4145], [0.3886, 0.8031, 0.4990], [0.8041, 0.8896, 0.0010], [0.6959, 0.6969, 0.0855]]}

Repeat the seventh record exactly.
{"formula": "Th2AlPt", "functional": "PBE-GGA", "state": "optimized geometry", "polymorph_energy_ev_per_fu": 2.34, "rho_g_cm3": 8.956, "magmom_total_mub_per_cell": 0.0, "formation_enthalpy_0k_ev_per_atom": -0.040, "n_ef_per_ev_cell": 4.82, "cell": [[3.7990, 0.0000, 0.0000], [1.8995, 3.2901, 0.0000], [1.8995, 1.0967, 10.1786]], "species": ["Pt", "Th", "Th", "Al"], "frac_coords": [[0.5000, 0.5000, 0.5000], [0.1046, 0.1046, 0.6862], [0.8954, 0.8954, 0.3138], [0.0000, 0.0000, 0.0000]]}